Material: Ce2PmNd3Dy6
Method: DFT, PBE-GGA
State: relaxed

Structure (extended XYZ):
```
12
Lattice="6.2147 -0.0011 0.0047 -3.1068 5.3824 0.0047 -1.0443 -1.8082 11.6016" Properties=species:S:1:pos:R:3 pbc="T T T"
Dy 2.0627 3.5716 2.8665
Dy -0.0228 3.5752 8.7498
Dy -1.0446 1.8061 2.8611
Dy 3.1082 1.7670 8.7498
Dy 2.0864 -0.0022 2.8611
Dy 0.0008 0.0014 8.7444
Nd 4.1444 -0.0111 5.8055
Nd 1.0318 1.7865 5.8055
Nd -2.0808 3.5841 5.8055
Pm 0.0000 0.0000 0.0000
Ce 0.0010 3.5875 0.0047
Ce 3.1069 1.7937 0.0047
```

Calculated values
Its crystal system is monoclinic. For the formation energy from the elements, the calculation gives 0.05 eV per atom. The density comes out at 7842 kg/m³. As for the total magnetization: 1.929 μB/f.u. For the density of states at the Fermi level, the calculation gives 20.96 states/eV/cell.


Material: CePm6NdDy2
Method: DFT, PBE-GGA
State: relaxed

Structure (extended XYZ):
```
10
Lattice="8.8808 0.0000 1.2312 0.0000 6.9162 0.0000 -2.1011 -3.4581 5.2955" Properties=species:S:1:pos:R:3 pbc="T T T"
Pm 6.4005 5.2738 2.7932
Pm 3.6270 0.0000 4.6611
Pm 3.1526 3.4581 1.8656
Pm 0.3792 -1.8156 3.7336
Pm 6.4005 1.6425 2.7932
Pm 0.3792 1.8156 3.7336
Dy 5.7355 3.4581 5.3649
Dy 1.0442 0.0000 1.1618
Ce 0.0000 3.4581 0.0000
Nd 4.4404 0.0000 0.6156
```

Calculated values
Its crystal system is monoclinic. For the formation energy from the elements, the calculation gives 0.24 eV per atom. The density comes out at 7159 kg/m³. As for the total magnetization: 1.351 μB/f.u. For the density of states at the Fermi level, the calculation gives 22.59 states/eV/cell.


Material: CePmNd2Dy
Method: DFT, PBE-GGA
State: relaxed

Structure (extended XYZ):
```
10
Lattice="-3.6152 -4.6301 -2.6433 3.5285 -5.6751 5.1148 -4.4895 1.1051 4.2044" Properties=species:S:1:pos:R:3 pbc="T T T"
Nd -4.7833 -4.1187 2.8638
Nd -3.4396 -6.3242 4.8893
Nd -1.1366 -2.8759 1.7866
Nd 0.2070 -5.0813 3.8121
Ce -4.9930 -1.2534 1.9645
Ce -3.1117 -2.2715 -0.4034
Pm -2.2447 0.5526 2.1022
Pm 0.0000 0.0000 0.0000
Dy -2.2329 -2.8155 5.2501
Dy -2.3433 -6.3845 1.4258
```

Calculated values
Its crystal system is monoclinic. For the formation energy from the elements, the calculation gives 0.26 eV per atom. The density comes out at 7217 kg/m³. As for the total magnetization: 0.826 μB/f.u. For the density of states at the Fermi level, the calculation gives 20.42 states/eV/cell.


Material: CePm2Nd6Dy
Method: DFT, PBE-GGA
State: relaxed

Structure (extended XYZ):
```
10
Lattice="-4.1516 -5.5699 5.6619 5.7820 -3.9635 0.3405 -0.3793 5.9326 3.1684" Properties=species:S:1:pos:R:3 pbc="T T T"
Dy -2.0758 -2.7850 2.8310
Nd 2.2980 0.3664 3.3829
Nd -0.7509 2.4564 3.2033
Nd 2.0019 -6.0573 5.9675
Nd 1.7836 -3.3257 3.3303
Nd -1.0470 -3.9672 5.7879
Nd -0.5326 -0.2752 5.8405
Pm -0.2562 -0.2425 1.5285
Pm 1.5072 -3.3584 7.6423
Ce 2.8910 -1.9818 0.1703
```

Calculated values
Its crystal system is monoclinic. For the formation energy from the elements, the calculation gives 0.23 eV per atom. The density comes out at 6938 kg/m³. As for the total magnetization: 0.934 μB/f.u. For the density of states at the Fermi level, the calculation gives 21.35 states/eV/cell.


Material: CePm2NdDy5
Method: DFT, PBE-GGA
State: relaxed

Structure (extended XYZ):
```
18
Lattice="8.6849 0.0000 0.0000 0.0000 8.6849 0.0000 -4.3425 -4.3425 7.7734" Properties=species:S:1:pos:R:3 pbc="T T T"
Dy 6.1000 6.9274 2.1557
Dy -2.5849 1.7575 5.6177
Dy 6.9274 2.5849 2.1557
Dy 2.5849 1.7575 2.1557
Dy 1.7575 6.1000 2.1557
Dy -1.7575 -2.5849 5.6177
Dy 0.0000 0.0000 0.0000
Dy 2.5849 -1.7575 5.6177
Dy 1.7575 2.5849 5.6177
Dy 4.3425 4.3425 0.0000
Pm 5.3843 1.0419 0.0000
Pm 1.0419 3.3006 0.0000
Pm 7.6430 5.3843 0.0000
Pm 3.3006 7.6430 0.0000
Ce 0.0000 4.3425 3.8867
Ce 4.3425 0.0000 3.8867
Nd 0.0000 0.0000 3.8867
Nd 4.3425 4.3425 3.8867
```

Calculated values
Its crystal system is tetragonal. For the formation energy from the elements, the calculation gives 0.27 eV per atom. The density comes out at 7855 kg/m³. As for the total magnetization: 1.036 μB/f.u. For the density of states at the Fermi level, the calculation gives 30.17 states/eV/cell.


Material: CePmNd2Dy5
Method: DFT, PBE-GGA
State: relaxed

Structure (extended XYZ):
```
18
Lattice="-3.1932 -5.0567 -6.2729 7.2662 1.1085 -4.5924 1.1041 -4.2959 8.8884" Properties=species:S:1:pos:R:3 pbc="T T T"
Nd 1.6995 -3.7600 -8.3667
Nd -1.1061 -3.0039 -4.4449
Nd 5.1791 -0.9444 -6.4203
Nd 2.3735 -0.1882 -2.4986
Dy 4.6877 -2.7921 3.4164
Dy 5.3393 -2.0013 -3.5401
Dy 2.0365 -1.9741 -5.4326
Dy 0.4894 -5.4520 -5.3933
Dy 4.4202 -4.4263 -7.1047
Dy 0.0000 0.0000 0.0000
Dy 0.7569 -3.8178 5.1278
Dy -0.1622 -6.2428 1.5632
Dy 3.7686 -5.2171 -0.1482
Dy 1.4085 -3.0270 -1.8287
Ce 5.2034 -2.5808 -0.5683
Ce -0.0263 -5.6634 -1.4086
Pm 1.5703 -3.1350 1.7279
Pm 3.6068 -5.1091 -3.7048
```

Calculated values
Its crystal system is tetragonal. For the formation energy from the elements, the calculation gives 0.27 eV per atom. The density comes out at 7839 kg/m³. As for the total magnetization: 1.023 μB/f.u. For the density of states at the Fermi level, the calculation gives 31.07 states/eV/cell.